[1]
Tl2CdMo: optimized geometry, GGA-PBE.

a = 5.940 Å, b = 5.940 Å, c = 5.940 Å
α = 144.99°, β = 129.80°, γ = 62.67°
Sites, in units of the cell vectors:
Tl  0.230  0.230  0.000
Tl  0.770  0.770  0.000
Cd  0.500  0.000  0.500
Mo  0.000  0.500  0.500

Computed properties:
ΔE to the lowest computed polymorph = 184 meV/atom
crystal system = orthorhombic
symmetry = Immm

[2]
TlCd2Mo: optimized geometry, GGA-PBE.

a = 6.015 Å, b = 6.015 Å, c = 6.015 Å
α = 149.90°, β = 128.85°, γ = 60.50°
Sites, in units of the cell vectors:
Tl  0.000  0.000  0.000
Cd  0.471  0.471  0.000
Cd  0.732  0.232  0.500
Mo  0.238  0.738  0.500

Computed properties:
ΔE to the lowest computed polymorph = 174 meV/atom
crystal system = orthorhombic
symmetry = Imm2

[3]
TlCd2Mo: optimized geometry, GGA-PBE.

a = 2.947 Å, b = 2.947 Å, c = 9.946 Å
α = 90.00°, β = 90.00°, γ = 90.00°
Sites, in units of the cell vectors:
Tl  0.000  0.000  0.000
Cd  0.000  0.000  0.548
Cd  0.500  0.500  0.295
Mo  0.500  0.500  0.762

Computed properties:
ΔE to the lowest computed polymorph = 82 meV/atom
crystal system = tetragonal
symmetry = P4mm

[4]
Tl2CdMo: optimized geometry, GGA-PBE.

a = 5.092 Å, b = 5.092 Å, c = 5.092 Å
α = 60.00°, β = 60.00°, γ = 60.00°
Sites, in units of the cell vectors:
Tl  0.250  0.250  0.250
Tl  0.750  0.750  0.750
Cd  0.000  0.000  0.000
Mo  0.500  0.500  0.500

Computed properties:
ΔE to the lowest computed polymorph = 285 meV/atom
crystal system = cubic
symmetry = Fm-3m

[5]
TlCdMo: optimized geometry, GGA-PBE.

a = 7.775 Å, b = 7.618 Å, c = 2.967 Å
α = 81.88°, β = 75.93°, γ = 22.19°
Sites, in units of the cell vectors:
Tl  0.000  0.000  0.000
Cd  0.312  0.312  0.688
Mo  0.661  0.661  0.339

Computed properties:
ΔE to the lowest computed polymorph = 15 meV/atom
crystal system = orthorhombic
symmetry = Fmm2

[6]
Tl2CdMo: optimized geometry, GGA-PBE.

a = 10.637 Å, b = 10.637 Å, c = 10.637 Å
α = 156.45°, β = 156.45°, γ = 33.55°
Sites, in units of the cell vectors:
Tl  0.102  0.625  0.977
Tl  0.375  0.352  0.477
Tl  0.648  0.125  0.023
Tl  0.875  0.898  0.523
Cd  0.250  0.750  0.500
Cd  0.500  0.500  0.000
Mo  0.000  0.000  0.000
Mo  0.750  0.250  0.500

Computed properties:
ΔE to the lowest computed polymorph = 347 meV/atom
crystal system = tetragonal
symmetry = I-42d

[7]
TlCd2Mo: optimized geometry, GGA-PBE.

a = 5.477 Å, b = 5.477 Å, c = 3.026 Å
α = 90.86°, β = 90.86°, γ = 115.17°
Sites, in units of the cell vectors:
Tl  0.000  0.000  0.000
Cd  0.000  0.500  0.500
Cd  0.500  0.000  0.500
Mo  0.500  0.500  0.000

Computed properties:
ΔE to the lowest computed polymorph = 69 meV/atom
crystal system = monoclinic
symmetry = C2/m

[8]
TlCdMo2W: optimized geometry, GGA-PBE.

a = 4.992 Å, b = 4.992 Å, c = 4.995 Å
α = 90.00°, β = 90.00°, γ = 90.00°
Sites, in units of the cell vectors:
Tl  0.000  0.000  0.000
Cd  0.500  0.500  0.500
Mo  0.000  0.500  0.000
Mo  0.500  0.000  0.000
W  0.000  0.000  0.500

Computed properties:
crystal system = tetragonal
symmetry = P4/mmm
DFT total energy = -4.8769 eV/atom